No. 1
# AcSb2Ir2, optimized geometry, DFT PBE
data_AcSb2Ir2
_symmetry_space_group_name_H-M 'P 4/n m m'
_symmetry_Int_Tables_number 129
_cell_length_a 4.6483
_cell_length_b 4.6483
_cell_length_c 10.5904
_cell_angle_alpha 90.00
_cell_angle_beta 90.00
_cell_angle_gamma 90.00
loop_
_symmetry_equiv_pos_as_xyz
'x,y,z'
'-x,-y,-z'
'-y+1/2,x,z'
'y+1/2,-x,-z'
'-x+1/2,-y+1/2,z'
'x+1/2,y+1/2,-z'
'y,-x+1/2,z'
'-y,x+1/2,-z'
'x+1/2,-y,-z'
'-x+1/2,y,z'
'-y,-x,-z'
'y,x,z'
'-x,y+1/2,-z'
'x,-y+1/2,z'
'y+1/2,x+1/2,-z'
'-y+1/2,-x+1/2,z'
loop_
_atom_site_label
_atom_site_type_symbol
_atom_site_fract_x
_atom_site_fract_y
_atom_site_fract_z
Ac1 Ac 0.2500 0.2500 0.2456
Sb1 Sb 0.2500 0.2500 0.8695
Sb2 Sb 0.2500 0.7500 0.5000
Ir1 Ir 0.2500 0.2500 0.6213
Ir2 Ir 0.2500 0.7500 0.0000
# **Total energy**: -66.543 eV for the cell shown
# **V**: 22.88 A^3/atom

No. 2
# TaBNO, optimized geometry, DFT PBE
data_TaBNO
_symmetry_space_group_name_H-M 'P 4/n m m'
_symmetry_Int_Tables_number 129
_cell_length_a 3.4553
_cell_length_b 3.4553
_cell_length_c 6.4047
_cell_angle_alpha 90.00
_cell_angle_beta 90.00
_cell_angle_gamma 90.00
loop_
_symmetry_equiv_pos_as_xyz
'x,y,z'
'-x,-y,-z'
'-y+1/2,x,z'
'y+1/2,-x,-z'
'-x+1/2,-y+1/2,z'
'x+1/2,y+1/2,-z'
'y,-x+1/2,z'
'-y,x+1/2,-z'
'x+1/2,-y,-z'
'-x+1/2,y,z'
'-y,-x,-z'
'y,x,z'
'-x,y+1/2,-z'
'x,-y+1/2,z'
'y+1/2,x+1/2,-z'
'-y+1/2,-x+1/2,z'
loop_
_atom_site_label
_atom_site_type_symbol
_atom_site_fract_x
_atom_site_fract_y
_atom_site_fract_z
Ta1 Ta 0.2500 0.2500 0.1996
B1 B 0.2500 0.7500 0.5000
N1 N 0.2500 0.2500 0.5078
O1 O 0.2500 0.7500 0.0000
# **ΔE to the lowest computed polymorph**: 3.24 eV per formula unit
# **V**: 9.56 A^3/atom